# 1
InOs2Se: relaxed, PBE.

Calculated values
ΔE_f (raw): 0.49 eV per atom
Symmetry: Cm
Energy above the lowest structure with this stoichiometry: 165 meV/atom

a = 5.359 Å, b = 5.359 Å, c = 5.826 Å
α = 121.71°, β = 121.71°, γ = 31.94°
Fractional coordinates of all 4 atoms:
1 In 0.000 0.000 0.000
2 Os 0.444 0.444 0.371
3 Os 0.757 0.757 0.434
4 Se 0.167 0.167 0.680



# 2
OsRhCl: relaxed, PBE.

Calculated values
ΔE_f (raw): 0.52 eV per atom
Symmetry: P3m1
Energy above the lowest structure with this stoichiometry: 0 meV/atom

a = 2.904 Å, b = 2.904 Å, c = 6.212 Å
α = 90.00°, β = 90.00°, γ = 120.00°
Fractional coordinates of all 3 atoms:
1 Os 0.000 0.000 0.000
2 Rh 0.667 0.333 0.315
3 Cl 0.333 0.667 0.662



# 3
NdEr5Cu6: relaxed, PBE.

Calculated values
Formation energy from the elements: -3.05 eV/f.u.
Symmetry: P2/m

a = 4.905 Å, b = 6.874 Å, c = 7.772 Å
α = 90.00°, β = 108.22°, γ = 90.00°
Fractional coordinates of all 12 atoms:
1 Nd 0.000 0.000 0.000
2 Er 0.000 0.500 0.000
3 Er 0.332 0.000 0.663
4 Er 0.334 0.500 0.668
5 Er 0.666 0.500 0.332
6 Er 0.668 0.000 0.337
7 Cu 0.170 0.254 0.342
8 Cu 0.170 0.746 0.342
9 Cu 0.500 0.264 0.000
10 Cu 0.500 0.736 0.000
11 Cu 0.830 0.254 0.658
12 Cu 0.830 0.746 0.658



# 4
Cs12Br3Cl5: relaxed, PBE.

Calculated values
ΔE_f (raw): -1.37 eV per atom
Symmetry: Ia-3d

a = 18.751 Å, b = 18.751 Å, c = 18.751 Å
α = 109.47°, β = 109.47°, γ = 109.47°
Fractional coordinates of all 80 atoms:
1 Cs 0.035 0.212 0.128
2 Cs 0.035 0.323 0.907
3 Cs 0.084 0.712 0.677
4 Cs 0.084 0.872 0.407
5 Cs 0.093 0.628 0.416
6 Cs 0.093 0.965 0.677
7 Cs 0.128 0.035 0.212
8 Cs 0.128 0.593 0.916
9 Cs 0.177 0.212 0.584
10 Cs 0.177 0.465 0.593
11 Cs 0.212 0.128 0.035
12 Cs 0.212 0.584 0.177
13 Cs 0.288 0.323 0.916
14 Cs 0.288 0.465 0.372
15 Cs 0.323 0.907 0.035
16 Cs 0.323 0.916 0.288
17 Cs 0.372 0.288 0.465
18 Cs 0.372 0.584 0.907
19 Cs 0.407 0.084 0.872
20 Cs 0.407 0.823 0.535
21 Cs 0.416 0.093 0.628
22 Cs 0.416 0.823 0.788
23 Cs 0.465 0.372 0.288
24 Cs 0.465 0.593 0.177
25 Cs 0.535 0.407 0.823
26 Cs 0.535 0.628 0.712
27 Cs 0.584 0.177 0.212
28 Cs 0.584 0.907 0.372
29 Cs 0.593 0.177 0.465
30 Cs 0.593 0.916 0.128
31 Cs 0.628 0.416 0.093
32 Cs 0.628 0.712 0.535
33 Cs 0.677 0.084 0.712
34 Cs 0.677 0.093 0.965
35 Cs 0.712 0.535 0.628
36 Cs 0.712 0.677 0.084
37 Cs 0.788 0.416 0.823
38 Cs 0.788 0.872 0.965
39 Cs 0.823 0.535 0.407
40 Cs 0.823 0.788 0.416
41 Cs 0.872 0.407 0.084
42 Cs 0.872 0.965 0.788
43 Cs 0.907 0.035 0.323
44 Cs 0.907 0.372 0.584
45 Cs 0.916 0.128 0.593
46 Cs 0.916 0.288 0.323
47 Cs 0.965 0.677 0.093
48 Cs 0.965 0.788 0.872
49 Br 0.125 0.250 0.375
50 Br 0.125 0.375 0.750
51 Br 0.250 0.375 0.125
52 Br 0.250 0.875 0.625
53 Br 0.375 0.125 0.250
54 Br 0.375 0.750 0.125
55 Br 0.625 0.250 0.875
56 Br 0.625 0.875 0.750
57 Br 0.750 0.125 0.375
58 Br 0.750 0.625 0.875
59 Br 0.875 0.625 0.250
60 Br 0.875 0.750 0.625
61 Cl 0.000 0.000 0.000
62 Cl 0.000 0.000 0.500
63 Cl 0.000 0.500 0.000
64 Cl 0.000 0.500 0.500
65 Cl 0.125 0.750 0.875
66 Cl 0.125 0.875 0.250
67 Cl 0.250 0.125 0.875
68 Cl 0.250 0.625 0.375
69 Cl 0.375 0.250 0.625
70 Cl 0.375 0.625 0.750
71 Cl 0.500 0.000 0.000
72 Cl 0.500 0.000 0.500
73 Cl 0.500 0.500 0.000
74 Cl 0.500 0.500 0.500
75 Cl 0.625 0.375 0.250
76 Cl 0.625 0.750 0.375
77 Cl 0.750 0.375 0.625
78 Cl 0.750 0.875 0.125
79 Cl 0.875 0.125 0.750
80 Cl 0.875 0.250 0.125



# 5
CuPtSe2: relaxed, PBE.

Calculated values
ΔE_f (raw): -0.11 eV per atom
Symmetry: R3m

a = 6.732 Å, b = 6.732 Å, c = 6.732 Å
α = 32.35°, β = 32.35°, γ = 32.35°
Fractional coordinates of all 4 atoms:
1 Cu 0.000 0.000 0.000
2 Pt 0.745 0.745 0.745
3 Se 0.279 0.279 0.279
4 Se 0.475 0.475 0.475



# 6
Na2CoS2: relaxed, PBE.

Calculated values
ΔE_f (raw): -0.47 eV per atom
Symmetry: P4/mbm

a = 6.364 Å, b = 6.364 Å, c = 4.358 Å
α = 90.00°, β = 90.00°, γ = 90.00°
Fractional coordinates of all 10 atoms:
1 Na 0.150 0.350 0.000
2 Na 0.350 0.850 0.000
3 Na 0.650 0.150 0.000
4 Na 0.850 0.650 0.000
5 Co 0.000 0.000 0.500
6 Co 0.500 0.500 0.500
7 S 0.176 0.676 0.500
8 S 0.324 0.176 0.500
9 S 0.676 0.824 0.500
10 S 0.824 0.324 0.500



Number 1: Fermi-level density of states 2.278 states/eV/f.u.. Number 2: Fermi-level density of states 2.048 states/eV/f.u.. Number 3: Fermi-level density of states 5.111 states/eV/f.u.. Number 4: Fermi-level density of states 5.920 states/eV/f.u.. Number 5: Fermi-level density of states 2.169 states/eV/f.u.. Number 6: Fermi-level density of states 4.277 states/eV/f.u..